Compound: K3TlV2F9
Source: the Alexandria database
Functional: GGA+U
Structure: optimized geometry

Values from the calculation:
For the volume, the calculation gives 17.78 Å³/atom. The magnetic moment is 5.00 μB per formula unit. The total energy is -77.31 eV/f.u.

a b c (Å): 5.978 5.978 8.618
angles (deg): 90.00 90.00 120.00
Fractional coordinates of all 15 atoms:
K1 0.000 0.000 0.000
K2 0.333 0.667 0.727
K3 0.667 0.333 0.273
Tl1 0.000 0.000 0.500
V1 0.333 0.667 0.141
V2 0.667 0.333 0.859
F1 0.000 0.500 0.000
F2 0.173 0.347 0.268
F3 0.173 0.827 0.268
F4 0.347 0.173 0.732
F5 0.500 0.000 0.000
F6 0.500 0.500 0.000
F7 0.653 0.827 0.268
F8 0.827 0.173 0.732
F9 0.827 0.653 0.732